Computed, not measured: crystalline K2GaBSb at its relaxed geometry at the GGA-PBE level of DFT.

## Properties
Space-group type: P4/mmm, No. 123
ΔE_f (raw) in kcal/mol of atoms: 12.99

Lattice parameters (Å, degrees): 6.133 4.464 6.133 90.00 90.00 90.00
Each line ends with the local moment (μB).
Fractional positions:
K 0.000 0.000 0.500  0.02
K 0.500 0.000 0.000  0.01
B 0.000 0.000 0.000  0.17
Sb 0.000 0.500 0.000  -0.02
Ga 0.500 0.500 0.500  0.09